Record 1
Below is a relaxed structure of YTmSb2, with properties calculated at the PBE-GGA level.

```
YTmSb2
1.0
-1.987 -1.881 -3.383
4.345 0.155 0.160
0.196 -12.633 6.908
Y Tm Sb
2 2 4
Cartesian
0.173 -4.360 -0.475
2.381 -9.998 4.160
0.098 -6.316 3.454
0.000 0.000 0.000
2.309 -5.314 1.599
0.296 -12.309 3.872
0.245 -9.045 2.087
2.258 -2.050 -0.186
```

Computed properties:
Formation energy (no corrections) ... -1044 meV/atom
Relative energy among the computed polymorphs ... 0.073 eV per atom
Uncorrected energy ... -46.7 eV for the cell shown

Record 2
Below is a relaxed structure of RbPH2, with properties calculated at the PBE-GGA level.

```
RbPH2
1.0
0.000 3.155 3.155
3.155 0.000 3.155
3.155 3.155 0.000
P Rb H
1 1 2
Cartesian
0.000 0.000 0.000
3.155 3.155 3.155
1.578 1.578 1.578
4.733 4.733 4.733
```

Computed properties:
Relative energy among the computed polymorphs ... 1.235 eV per atom
Uncorrected energy ... -9.3 eV for the cell shown

Record 3
Below is a relaxed structure of NbFe2Ir2, with properties calculated at the PBE-GGA level.

```
NbFe2Ir2
1.0
-1.962 2.361 -6.455
-6.765 0.523 2.248
0.465 2.573 0.800
Nb Ir Fe
2 4 4
Cartesian
0.000 0.000 0.000
-4.364 1.442 -2.104
-4.688 2.056 0.783
-6.668 3.314 -2.113
-3.575 3.401 -4.190
-1.595 2.143 -1.294
-6.714 1.362 -0.482
-5.913 2.405 -4.301
-2.014 1.522 -3.725
-2.814 0.479 0.094
```

Computed properties:
Calculated formation energy ... -130 meV/atom
Relative energy among the computed polymorphs ... 0.000 eV per atom
Uncorrected energy ... -90.7 eV for the cell shown

Record 4
Below is a relaxed structure of KY3Ti, with properties calculated at the PBE-GGA level.

```
KY3Ti
1.0
5.661 0.000 0.000
0.000 5.661 0.000
0.000 0.000 5.661
Y K Ti
3 1 1
Cartesian
0.000 2.831 0.000
0.000 0.000 2.831
2.831 0.000 0.000
2.831 2.831 2.831
0.000 0.000 0.000
```

Computed properties:
Calculated formation energy ... 557 meV/atom
Relative energy among the computed polymorphs ... 0.000 eV per atom
Uncorrected energy ... -25.6 eV for the cell shown

Record 5
Below is a relaxed structure of YTlSn2, with properties calculated at the PBE-GGA level.

```
YTlSn2
1.0
-2.535 -3.064 -1.278
3.146 -1.703 -2.158
1.623 -3.472 5.105
Y Tl Sn
1 1 2
Cartesian
0.305 -2.384 -1.718
1.117 -4.119 0.835
1.242 -2.656 3.906
0.381 -0.815 1.199
```

Computed properties:
Calculated formation energy ... -315 meV/atom
Relative energy among the computed polymorphs ... 0.067 eV per atom
Uncorrected energy ... -18.1 eV for the cell shown

Record 6
Below is a relaxed structure of MgAl2Cu6, with properties calculated at the PBE-GGA level.

```
MgAl2Cu6
1.0
4.470 0.037 0.390
0.538 6.964 2.819
0.189 -0.483 7.514
Mg Al Cu
2 4 12
Cartesian
1.348 0.426 7.044
3.848 6.091 3.679
2.255 3.369 7.599
0.618 1.249 4.114
2.941 3.148 3.124
4.578 5.268 6.609
2.518 4.517 5.341
0.529 3.793 4.045
2.678 2.000 5.382
4.667 2.724 6.678
3.006 0.596 3.193
4.340 4.115 8.875
2.190 5.921 7.529
0.856 2.402 1.848
1.749 5.198 2.294
1.470 6.779 4.780
3.447 1.319 8.429
3.726 -0.262 5.942
```

Computed properties:
Calculated formation energy ... -138 meV/atom
Uncorrected energy ... -69.8 eV for the cell shown

Record 7
Below is a relaxed structure of Ta3RhO, with properties calculated at the PBE-GGA level.

```
Ta3RhO
1.0
4.790 0.000 0.000
0.000 4.790 0.000
0.000 0.000 4.790
Rh O Ta
1 1 3
Cartesian
0.000 0.000 0.000
2.395 2.395 2.395
0.000 2.395 0.000
0.000 0.000 2.395
2.395 0.000 0.000
```

Computed properties:
Formation energy (no corrections) ... 1575 meV/atom
Uncorrected energy ... -40.0 eV for the cell shown